The following is a DFT calculation (PBE-GGA) of Pr2NdSm6Tm3 after structural relaxation.

## Properties
Calculated total energy   -4.65 eV/atom
Density   7.62 g/cm³
Energy relative to the elements   0.021 eV/atom

a b c (Å): 6.2654 10.8528 11.9458
angles (deg): 90.00 100.06 90.00
Space group C2/m (No. 12)
Inequivalent atoms, fractional coordinates:
Pr  0.0000  0.1667  0.0000
Nd  0.0000  0.5000  0.0000
Sm  0.2480  0.1666  0.7438
Sm  0.2477  0.5000  0.7438
Tm  0.0000  0.0000  0.5000
Tm  0.0000  0.3334  0.5000